Here is an optimized crystal structure of MnFeMo2 from the Alexandria database. Energies are from PBE-GGA.

Offset from the most stable computed form in eV/atom: 0.2228
Density of states at the Fermi level in states/eV/atom: 0.95
Formation energy from the elements in eV/f.u.: 1.33
Calculated total energy in eV/atom: -9.492
Volume in A^3/atom: 13.72
Magnetic moment in μB per cell: 2.2

a = 8.8920 Å, b = 8.8920 Å, c = 8.8920 Å
α = 17.40°, β = 17.40°, γ = 17.40°
Last column: nearest neighbours and their distance in Å.
Positions (direct):
Fe: 0.2500 0.2500 0.2500  6 Fe 2.69, 6 Mo 2.71
Mn: 0.7500 0.7500 0.7500  6 Mo 2.65, 6 Mn 2.69
Mo: 0.0014 0.0014 0.0014  3 Mn 2.65, 6 Mo 2.69, 3 Fe 2.71
Mo: 0.4986 0.4986 0.4986  3 Mn 2.65, 6 Mo 2.69, 3 Fe 2.71